# 1
DFT (GGA-PBE) results for a relaxed structure of InGe2Mo.

Calculated values
Calculated volume: 216.7 Å³ per cell
Energy of formation from the pure elements: 0.68 eV per atom
Crystal system: tetragonal
Fermi-level density of states: 0.926 states/eV/atom

abc: 7.283 7.283 7.283
angles: 130.75 130.75 72.20
Fractional coordinates of all 8 atoms:
1 In 0.000 0.000 0.000
2 In 0.750 0.250 0.500
3 Ge 0.169 0.625 0.044
4 Ge 0.375 0.419 0.544
5 Ge 0.581 0.125 0.956
6 Ge 0.875 0.831 0.456
7 Mo 0.250 0.750 0.500
8 Mo 0.500 0.500 0.000



# 2
DFT (GGA-PBE) results for a relaxed structure of InGe2Mo.

Calculated values
Calculated volume: 78.8 Å³ per cell
Energy of formation from the pure elements: 0.08 eV per atom
Crystal system: trigonal
Fermi-level density of states: 0.403 states/eV/atom

abc: 9.424 9.424 9.424
angles: 19.16 19.16 19.16
Fractional coordinates of all 4 atoms:
1 In 0.000 0.000 0.000
2 Ge 0.099 0.099 0.099
3 Ge 0.901 0.901 0.901
4 Mo 0.500 0.500 0.500



# 3
DFT (GGA-PBE) results for a relaxed structure of InGeMo3.

Calculated values
Calculated volume: 100.2 Å³ per cell
Energy of formation from the pure elements: 1.14 eV per atom
Crystal system: cubic
Fermi-level density of states: 1.419 states/eV/atom

abc: 4.644 4.644 4.644
angles: 90.00 90.00 90.00
Fractional coordinates of all 5 atoms:
1 In 0.000 0.000 0.000
2 Ge 0.500 0.500 0.500
3 Mo 0.000 0.500 0.500
4 Mo 0.500 0.000 0.500
5 Mo 0.500 0.500 0.000